Entry 1:
First-principles (PBEsol) data for RbLaTa2Ru after structural relaxation, as listed in Alexandria via LeMat-Bulk.

Lattice parameters (Å, degrees): 4.8148 4.8148 5.6770 90.00 90.00 90.00
Fractional positions:
Rb (0.0000, 0.0000, 0.0000)
La (0.5000, 0.5000, 0.0000)
Ta (0.0000, 0.5000, 0.5000)
Ta (0.5000, 0.0000, 0.5000)
Ru (0.0000, 0.0000, 0.5000)

Computed properties:
Spin magnetization = 0.00 μB/cell
Calculated formation energy = 1.240 eV/atom
Final energy = -35.4 eV per formula unit
Density of states at the Fermi level = 6.46 states/eV/cell
Space-group type = P4/mmm

=====

Entry 2:
First-principles (PBEsol) data for K3Ba after structural relaxation, as listed in Alexandria via LeMat-Bulk.

Lattice parameters (Å, degrees): 15.4902 15.4902 15.4902 16.64 16.64 16.64
Fractional positions:
K (0.0000, 0.0000, 0.0000)
K (0.2485, 0.2485, 0.2485)
K (0.7515, 0.7515, 0.7515)
Ba (0.5000, 0.5000, 0.5000)

Computed properties:
Spin magnetization = 0.00 μB/cell
Calculated formation energy = 0.053 eV/atom
Final energy = -5.3 eV per formula unit
Density of states at the Fermi level = 4.34 states/eV/cell
Space-group type = R-3m

=====

Entry 3:
First-principles (PBEsol) data for Zn2CrIn after structural relaxation, as listed in Alexandria via LeMat-Bulk.

Lattice parameters (Å, degrees): 9.2178 9.2178 9.2178 17.72 17.72 17.72
Fractional positions:
Zn (0.2397, 0.2397, 0.2397)
Zn (0.7603, 0.7603, 0.7603)
Cr (0.5000, 0.5000, 0.5000)
In (0.0000, 0.0000, 0.0000)

Computed properties:
Spin magnetization = 0.00 μB/cell
Calculated formation energy = 0.412 eV/atom
Final energy = -14.7 eV per formula unit
Density of states at the Fermi level = 2.00 states/eV/cell
Space-group type = R-3m